First-principles (PBE) data for a relaxed structure of Nd6Al3S14, as listed in Alexandria via LeMat-Bulk.

Unit cell a=5.910 b=10.086 c=10.086 alpha=120.00 beta=90.00 gamma=90.00
Atoms (fractional coordinates):
1 Nd 0.253 0.803 0.100
2 Nd 0.253 0.900 0.704
3 Nd 0.253 0.296 0.197
4 Nd 0.750 0.530 0.565
5 Nd 0.750 0.435 0.966
6 Nd 0.750 0.034 0.470
7 Al 0.833 0.000 0.000
8 Al 0.334 0.333 0.667
9 Al 0.480 0.667 0.333
10 S 0.981 0.084 0.235
11 S 0.981 0.765 0.848
12 S 0.981 0.152 0.916
13 S 0.484 0.247 0.432
14 S 0.484 0.568 0.816
15 S 0.484 0.184 0.753
16 S 0.458 0.000 0.000
17 S 0.959 0.333 0.667
18 S 0.707 0.755 0.187
19 S 0.707 0.813 0.568
20 S 0.707 0.432 0.245
21 S 0.251 0.580 0.483
22 S 0.251 0.517 0.097
23 S 0.251 0.903 0.420

Summary:
Its formation energy without anion corrections is -1.684 eV per atom. Its theoretical density is 4.45 g/cm³. The total DFT energy (no corrections) comes out at -5.93 eV/atom.

=====

First-principles (PBE) data for a relaxed structure of LiMo2Cl, as listed in Alexandria via LeMat-Bulk.

Unit cell a=5.819 b=5.819 c=5.819 alpha=149.41 beta=129.15 gamma=60.51
Atoms (fractional coordinates):
1 Cl 0.475 0.475 0.000
2 Li 0.707 0.207 0.500
3 Mo 0.070 0.070 0.000
4 Mo 0.247 0.747 0.500

Summary:
Its formation energy without anion corrections is 0.508 eV per atom. Its theoretical density is 5.05 g/cm³. Its distance to the lowest polymorph of the same formula is 610 meV/atom. The total DFT energy (no corrections) comes out at -5.85 eV/atom.

=====

First-principles (PBE) data for a relaxed structure of Sn2Te4Au, as listed in Alexandria via LeMat-Bulk.

Unit cell a=4.213 b=4.213 c=16.338 alpha=90.00 beta=90.00 gamma=120.00
Atoms (fractional coordinates):
1 Sn 0.667 0.333 0.406
2 Sn 0.333 0.667 0.055
3 Te 0.333 0.667 0.756
4 Te 0.333 0.667 0.300
5 Te 0.000 0.000 0.517
6 Te 0.000 0.000 0.952
7 Au 0.000 0.000 0.683

Summary:
Its formation energy without anion corrections is -0.069 eV per atom. Its theoretical density is 6.25 g/cm³. Its distance to the lowest polymorph of the same formula is 0 meV/atom. The total DFT energy (no corrections) comes out at -3.48 eV/atom.

=====

First-principles (PBE) data for a relaxed structure of PrTh2Bi, as listed in Alexandria via LeMat-Bulk.

Unit cell a=5.355 b=4.832 c=4.832 alpha=90.00 beta=90.00 gamma=90.00
Atoms (fractional coordinates):
1 Pr 0.500 0.000 0.000
2 Bi 0.500 0.500 0.500
3 Th 0.000 0.000 0.500
4 Th 0.000 0.500 0.000

Summary:
Its theoretical density is 10.81 g/cm³. Its distance to the lowest polymorph of the same formula is 0 meV/atom. For the formation energy, the calculation gives -299 meV/atom. The total DFT energy (no corrections) comes out at -6.17 eV/atom.

=====

Q: The highest theoretical density belongs to which entry?
A: PrTh2Bi